Below is La4Hg3 after structural relaxation, with properties calculated at the PBE level.

Cell lengths 13.4841, 13.4841, 13.4841 Å; angles 162.58, 162.58, 24.74 degrees
With the nearest neighbours (Å) after each atom.
Fractional coordinates of all 7 atoms:
La: 0.4325 0.4325 0.0000  4 Hg 3.39, 5 La 3.56-3.74
La: 0.5675 0.5675 0.0000  4 Hg 3.39, 5 La 3.56-3.74
La: 0.8422 0.8422 0.0000  5 Hg 3.27-3.32
La: 0.1578 0.1578 0.0000  5 Hg 3.27-3.32
Hg: 0.0000 0.0000 0.0000  8 La 3.39
Hg: 0.7161 0.7161 0.0000  5 La 3.27-3.32, 4 Hg 3.40
Hg: 0.2839 0.2839 0.0000  5 La 3.27-3.32, 4 Hg 3.40

Energy of formation   -0.320 eV per atom
Relative energy among the computed polymorphs   0.030 eV per atom
Total DFT energy (no corrections)   -0.11997 Ha/atom

Below is Ho8GeTe4P3 after structural relaxation, with properties calculated at the PBE level.

Cell lengths 8.2599, 8.4856, 8.2600 Å; angles 119.13, 120.00, 90.00 degrees
With the nearest neighbours (Å) after each atom.
Fractional coordinates of all 16 atoms:
Ho: 0.2646 0.2864 0.0255  2 P 2.81, 1 Ge 2.83, 3 Te 3.11-3.13
Ho: 0.7609 0.2864 0.0255  2 P 2.81, 1 Ge 2.83, 3 Te 3.11-3.13
Ho: 0.2391 0.7135 0.4781  2 P 2.81, 1 Ge 2.83, 3 Te 3.11-3.13
Ho: 0.2633 0.2900 0.5267  3 P 2.80, 3 Te 3.13
Ho: 0.7609 0.2865 0.5219  2 P 2.81, 1 Ge 2.83, 3 Te 3.11-3.13
Ho: 0.7367 0.7100 0.4733  3 P 2.80, 3 Te 3.13
Ho: 0.7354 0.7136 0.9745  2 P 2.81, 1 Ge 2.83, 3 Te 3.11-3.13
Ho: 0.2391 0.7136 0.9745  2 P 2.81, 1 Ge 2.83, 3 Te 3.11-3.13
Te: 0.0000 0.0000 0.5000  6 Ho 3.13
Te: 0.0000 0.0000 0.0000  6 Ho 3.13
Te: 0.5000 0.0000 0.5000  6 Ho 3.13
Te: 0.5000 0.0000 0.0000  6 Ho 3.11
P: 0.0000 0.5000 0.5000  6 Ho 2.80-2.81
P: 0.5000 0.5000 0.5000  6 Ho 2.80-2.81
P: 0.5000 0.5000 0.0000  6 Ho 2.80-2.81
Ge: 0.0000 0.5000 0.0000  6 Ho 2.83

Uncorrected formation energy   -1451.6 meV/atom
Total DFT energy (no corrections)   -0.21421 Ha/atom

Below is Ba2Fe after structural relaxation, with properties calculated at the PBE level.

Cell lengths 7.0408, 7.0408, 9.2492 Å; angles 92.83, 92.83, 36.02 degrees
With the nearest neighbours (Å) after each atom.
Fractional coordinates of all 6 atoms:
Fe: 0.9502 0.9502 0.4061  1 Fe 2.14
Fe: 0.0498 0.0498 0.5939  1 Fe 2.14
Ba: 0.6370 0.6370 0.3701  4 Fe 3.26-3.35
Ba: 0.6256 0.6256 0.8609  2 Fe 3.41
Ba: 0.3630 0.3630 0.6299  4 Fe 3.26-3.35
Ba: 0.3744 0.3744 0.1391  2 Fe 3.41

Energy of formation   0.452 eV per atom
Total DFT energy (no corrections)   -0.13415 Ha/atom